No. 1
The following is a PBE-GGA calculation of a geometry-optimized PrLuHgIr structure, from Alexandria via LeMat-Bulk.

Properties
Calculated formation energy (eV per atom): -0.54
Uncorrected energy (eV for the cell shown): -82.45
Spin magnetization (μB/cell): 0.00

a b c (Å): 7.2108 7.2108 7.2108
angles (deg): 90.00 90.00 90.00
Space group F-43m (No. 216)
Symmetry-distinct sites (fractional):
Pr (0.0000, 0.0000, 0.0000) x4
Lu (0.0000, 0.0000, 0.5000) x4
Hg (0.2500, 0.2500, 0.2500) x4
Ir (0.2500, 0.2500, 0.7500) x4

***

No. 2
The following is a PBE-GGA calculation of a geometry-optimized Tm3Zn8Ga3 structure, from Alexandria via LeMat-Bulk.

Properties
Calculated formation energy (eV per atom): -0.36
Uncorrected energy (eV for the cell shown): -75.38
Spin magnetization (μB/cell): 0.00

a b c (Å): 4.2409 9.5887 12.3044
angles (deg): 90.00 90.00 90.00
Space group Immm (No. 71)
Symmetry-distinct sites (fractional):
Tm (0.0000, 0.0000, 0.0000) x2
Tm (0.0000, 0.0000, 0.3083) x4
Zn (0.0000, 0.2722, 0.1437) x8
Zn (0.0000, 0.3715, 0.3386) x8
Ga (0.0000, 0.2070, 0.5000) x4
Ga (0.0000, 0.5000, 0.0000) x2

***

No. 3
The following is a PBE-GGA calculation of a geometry-optimized TbSm2HoSc structure, from Alexandria via LeMat-Bulk.

Properties
Calculated formation energy (eV per atom): 0.23
Uncorrected energy (eV for the cell shown): -47.62
Spin magnetization (μB/cell): 0.00

a b c (Å): 6.1785 7.8599 6.4788
angles (deg): 90.00 90.00 90.00
Space group Pmma (No. 51)
Symmetry-distinct sites (fractional):
Tb (0.2500, 0.0000, 0.0924) x2
Sm (0.2500, 0.2946, 0.7816) x4
Ho (0.2500, 0.5000, 0.3060) x2
Sc (0.0000, 0.0000, 0.5000) x2

***

No. 4
The following is a PBE-GGA calculation of a geometry-optimized La5Rh2O12 structure, from Alexandria via LeMat-Bulk.

Properties
Uncorrected energy (eV for the cell shown): -295.32
Uncorrected formation energy (kJ per mole of atoms): -247.9
Spin magnetization (μB/cell): 6.01

a b c (Å): 12.9581 6.1594 7.7381
angles (deg): 90.00 107.24 90.00
Space group C2/m (No. 12)
Symmetry-distinct sites (fractional):
La (0.0000, 0.0000, 0.0000) x2
La (0.1920, 0.5000, 0.3340) x4
La (0.1924, 0.5000, 0.8564) x4
Rh (0.0000, 0.2452, 0.5000) x4
O (0.0006, 0.0000, 0.6696) x4
O (0.0007, 0.5000, 0.3273) x4
O (0.1539, 0.2478, 0.0774) x8
O (0.1600, 0.2612, 0.5793) x8

***

No. 5
The following is a PBE-GGA calculation of a geometry-optimized Ac3RuIBr structure, from Alexandria via LeMat-Bulk.

Properties
Uncorrected energy (eV for the cell shown): -60.31
Uncorrected formation energy (kJ per mole of atoms): -85.7
Spin magnetization (μB/cell): 1.19

a b c (Å): 10.3170 4.3671 10.6203
angles (deg): 90.00 93.34 90.00
Space group P2_1/m (No. 11)
Symmetry-distinct sites (fractional):
Ac (0.0791, 0.2500, 0.3594) x2
Ac (0.1446, 0.2500, 0.9125) x2
Ac (0.3147, 0.7500, 0.6385) x2
Ru (0.1200, 0.2500, 0.6495) x2
I (0.3920, 0.7500, 0.3298) x2
Br (0.3686, 0.7500, 0.9325) x2

***

No. 6
The following is a PBE-GGA calculation of a geometry-optimized NbTcNi3 structure, from Alexandria via LeMat-Bulk.

Properties
Calculated formation energy (eV per atom): 1.24
Uncorrected energy (eV for the cell shown): -31.59
Spin magnetization (μB/cell): 0.00

a b c (Å): 4.3739 4.3739 4.3739
angles (deg): 90.00 90.00 90.00
Space group Pm-3m (No. 221)
Symmetry-distinct sites (fractional):
Nb (0.0000, 0.0000, 0.0000) x1
Tc (0.5000, 0.5000, 0.5000) x1
Ni (0.0000, 0.5000, 0.5000) x3

***

No. 7
The following is a PBE-GGA calculation of a geometry-optimized PmSm3Dy3S8 structure, from Alexandria via LeMat-Bulk.

Properties
Uncorrected energy (eV for the cell shown): -289.25
Uncorrected formation energy (kJ per mole of atoms): -197.4
Spin magnetization (μB/cell): 0.00

a b c (Å): 7.8977 7.8977 19.4419
angles (deg): 90.00 90.00 120.00
Space group R-3m (No. 166, hexagonal axes)
Symmetry-distinct sites (fractional):
Pm (0.0000, 0.0000, 0.0000) x3
Sm (0.0000, 0.5000, 0.5000) x9
Dy (0.0000, 0.5000, 0.0000) x9
S (0.0000, 0.0000, 0.2531) x6
S (0.0093, 0.5046, 0.2509) x18

***

No. 8
The following is a PBE-GGA calculation of a geometry-optimized Tl5Cd3In2 structure, from Alexandria via LeMat-Bulk.

Properties
Calculated formation energy (eV per atom): 0.04
Uncorrected energy (eV for the cell shown): -78.42
Spin magnetization (μB/cell): 0.00

a b c (Å): 11.6247 16.2735 6.0047
angles (deg): 90.00 90.67 90.00
Space group C2/c (No. 15)
Symmetry-distinct sites (fractional):
Tl (0.0000, 0.0414, 0.2500) x4
Tl (0.1266, 0.3477, 0.9324) x8
Tl (0.2408, 0.4412, 0.4842) x8
Cd (0.0000, 0.4798, 0.2500) x4
Cd (0.1144, 0.1510, 0.8905) x8
In (0.1189, 0.2415, 0.4098) x8